CsCo2PdCl8: optimized geometry, GGA-PBE.

The energy relative to the elements, uncorrected comes out at -906 kJ/mol of formula units. The value obtained for the total magnetization is 14.88 Bohr magnetons per cell.

It has space group R-3 (No. 148, hexagonal axes), with a = 6.3322 Å, b = 6.3322 Å, c = 29.6981 Å, α = 90.00°, β = 90.00° and γ = 120.00°. The inequivalent atoms are Cs at (0.0000, 0.0000, 0.0000), Co at (0.0000, 0.0000, 0.2378), Pd at (0.0000, 0.0000, 0.5000), Cl at (0.0000, 0.0000, 0.3114) and Cl at (0.0103, 0.3218, 0.4506).



CsPrCoCl6: optimized geometry, GGA-PBE.

The energy relative to the elements, uncorrected comes out at -1419 kJ/mol of formula units. The value obtained for the total magnetization is 6.00 Bohr magnetons per cell.

It has space group C2 (No. 5), with a = 6.879 Å, b = 11.951 Å, c = 7.758 Å, α = 90.00°, β = 90.16° and γ = 90.00°. The inequivalent atoms are Cs at (0.000, 0.000, 0.000), Pr at (0.000, 0.334, 0.500), Co at (0.000, 0.667, 0.500), Cl at (0.118, 0.516, 0.694), Cl at (0.163, 0.804, 0.690) and Cl at (0.211, 0.179, 0.690).



CsCo2PtCl8: optimized geometry, GGA-PBE.

The energy relative to the elements, uncorrected comes out at -867 kJ/mol of formula units. The value obtained for the total magnetization is 15.00 Bohr magnetons per cell.

It has space group R-3 (No. 148, hexagonal axes), with a = 6.2755 Å, b = 6.2755 Å, c = 30.3773 Å, α = 90.00°, β = 90.00° and γ = 120.00°. The inequivalent atoms are Cs at (0.0000, 0.0000, 0.0000), Co at (0.0000, 0.0000, 0.2360), Pt at (0.0000, 0.0000, 0.5000), Cl at (0.0000, 0.0000, 0.3081) and Cl at (0.0042, 0.3166, 0.4524).



Cs2CoPtCl6: optimized geometry, GGA-PBE.

The energy relative to the elements, uncorrected comes out at -987 kJ/mol of formula units. The value obtained for the total magnetization is 6.00 Bohr magnetons per cell.

It has space group I4/mmm (No. 139), with a = 7.135 Å, b = 7.135 Å, c = 11.451 Å, α = 90.00°, β = 90.00° and γ = 90.00°. The inequivalent atoms are Cs at (0.000, 0.500, 0.250), Co at (0.000, 0.000, 0.000), Pt at (0.000, 0.000, 0.500), Cl at (0.000, 0.000, 0.193) and Cl at (0.232, 0.232, 0.500).



CsPuCo2Cl8: optimized geometry, GGA-PBE.

The energy relative to the elements, uncorrected comes out at -1431 kJ/mol of formula units. The value obtained for the total magnetization is 3.00 Bohr magnetons per cell.

It has space group R32 (No. 155, hexagonal axes), with a = 6.4614 Å, b = 6.4614 Å, c = 31.7999 Å, α = 90.00°, β = 90.00° and γ = 120.00°. The inequivalent atoms are Cs at (0.0000, 0.0000, 0.0000), Pu at (0.0000, 0.0000, 0.5000), Co at (0.0000, 0.0000, 0.2459), Cl at (0.0000, 0.0000, 0.3148) and Cl at (0.0051, 0.3479, 0.1109).



CsPuCoCl6: optimized geometry, GGA-PBE.

The energy relative to the elements, uncorrected comes out at -1285 kJ/mol of formula units. The value obtained for the total magnetization is 15.22 Bohr magnetons per cell.

It has space group C2 (No. 5), with a = 6.774 Å, b = 11.778 Å, c = 7.812 Å, α = 90.00°, β = 90.20° and γ = 90.00°. The inequivalent atoms are Cs at (0.000, 0.000, 0.000), Pu at (0.000, 0.334, 0.500), Co at (0.000, 0.667, 0.500), Cl at (0.123, 0.513, 0.689), Cl at (0.166, 0.808, 0.686) and Cl at (0.204, 0.179, 0.686).



CsRb2CoCl5: optimized geometry, GGA-PBE.

The energy relative to the elements, uncorrected comes out at -1338 kJ/mol of formula units. The value obtained for the total magnetization is 12.00 Bohr magnetons per cell.

It has space group I4/mcm (No. 140), with a = 9.110 Å, b = 9.110 Å, c = 14.443 Å, α = 90.00°, β = 90.00° and γ = 90.00°. The inequivalent atoms are Cs at (0.000, 0.000, 0.250), Rb at (0.168, 0.332, 0.000), Co at (0.000, 0.500, 0.250), Cl at (0.000, 0.000, 0.000) and Cl at (0.137, 0.363, 0.347).



Cs3RbCo2Cl8: optimized geometry, GGA-PBE.

The energy relative to the elements, uncorrected comes out at -1890 kJ/mol of formula units. The value obtained for the total magnetization is 6.00 Bohr magnetons per cell.

It has space group P-3m1 (No. 164), with a = 7.7866 Å, b = 7.7866 Å, c = 9.9307 Å, α = 90.00°, β = 90.00° and γ = 120.00°. The inequivalent atoms are Cs at (0.0000, 0.0000, 0.0000), Cs at (0.3333, 0.6667, 0.6498), Rb at (0.0000, 0.0000, 0.5000), Co at (0.3333, 0.6667, 0.2078), Cl at (0.1782, 0.3564, 0.2966) and Cl at (0.3333, 0.6667, 0.9850).



CsRb3Co2Cl8: optimized geometry, GGA-PBE.

The energy relative to the elements, uncorrected comes out at -1827 kJ/mol of formula units. The value obtained for the total magnetization is 6.00 Bohr magnetons per cell.

It has space group P-3m1 (No. 164), with a = 7.3236 Å, b = 7.3236 Å, c = 11.6084 Å, α = 90.00°, β = 90.00° and γ = 120.00°. The inequivalent atoms are Cs at (0.0000, 0.0000, 0.0000), Rb at (0.0000, 0.0000, 0.5000), Rb at (0.3333, 0.6667, 0.2430), Co at (0.3333, 0.6667, 0.7010), Cl at (0.1667, 0.3333, 0.7682) and Cl at (0.3333, 0.6667, 0.5086).



Cs2CoReCl6: optimized geometry, GGA-PBE.

The energy relative to the elements, uncorrected comes out at -843 kJ/mol of formula units. The value obtained for the total magnetization is 8.00 Bohr magnetons per cell.

It has space group I4/mmm (No. 139), with a = 6.796 Å, b = 6.796 Å, c = 11.833 Å, α = 90.00°, β = 90.00° and γ = 90.00°. The inequivalent atoms are Cs at (0.000, 0.500, 0.250), Co at (0.000, 0.000, 0.000), Re at (0.000, 0.000, 0.500), Cl at (0.000, 0.000, 0.294) and Cl at (0.247, 0.247, 0.000).



Cs2CoRhCl: optimized geometry, GGA-PBE.

The energy relative to the elements, uncorrected comes out at 274 kJ/mol of formula units. The value obtained for the total magnetization is 2.52 Bohr magnetons per cell.

It has space group P4/mmm (No. 123), with a = 6.758 Å, b = 6.758 Å, c = 4.115 Å, α = 90.00°, β = 90.00° and γ = 90.00°. The inequivalent atoms are Cs at (0.000, 0.500, 0.000), Co at (0.000, 0.000, 0.000), Rh at (0.500, 0.500, 0.500) and Cl at (0.000, 0.000, 0.500).



CsCoS2Cl: optimized geometry, GGA-PBE.

The energy relative to the elements, uncorrected comes out at -211 kJ/mol of formula units. The value obtained for the total magnetization is 3.25 Bohr magnetons per cell. The energy relative to the lowest polymorph listed for this composition comes out at 0 meV per atom.

It has space group P4/mmm (No. 123), with a = 4.544 Å, b = 4.544 Å, c = 5.903 Å, α = 90.00°, β = 90.00° and γ = 90.00°. The inequivalent atoms are Cs at (0.000, 0.000, 0.000), Co at (0.500, 0.500, 0.500), S at (0.000, 0.500, 0.500) and Cl at (0.500, 0.500, 0.000).